# 1
First-principles (PBE-GGA) data for a geometry-optimized PuSi2 structure, as listed in the Alexandria database.

Lattice parameters (Å, degrees): 4.0646 4.0646 3.8729 90.00 90.00 120.00
Space group P6/mmm (No. 191)
Unique sites:
Pu  0.0000  0.0000  0.0000 x1
Si  0.3333  0.6667  0.5000 x2

Computed properties:
As for the density of states at the Fermi level: 2.911 states/eV per atom. For the total energy, the calculation gives -26.5 eV per formula unit. Its energy relative to the elements, uncorrected is -451 meV per atom.


# 2
First-principles (PBE-GGA) data for a geometry-optimized PuSi3 structure, as listed in the Alexandria database.

Lattice parameters (Å, degrees): 5.8640 5.8640 4.4488 90.00 90.00 120.00
Space group P6_3/mmc (No. 194)
Unique sites:
Pu  0.3333  0.6667  0.2500 x2
Si  0.1448  0.2897  0.7500 x6

Computed properties:
As for the density of states at the Fermi level: 1.644 states/eV per atom. For the total energy, the calculation gives -32.0 eV per formula unit. Its energy relative to the elements, uncorrected is -344 meV per atom.


# 3
First-principles (PBE-GGA) data for a geometry-optimized PuSi2 structure, as listed in the Alexandria database.

Lattice parameters (Å, degrees): 5.6416 5.7627 4.0618 90.00 112.12 90.00
Space group C2/m (No. 12)
Unique sites:
Pu  0.0000  0.0000  0.0000 x2
Si  0.1126  0.5000  0.3046 x4

Computed properties:
As for the density of states at the Fermi level: 3.463 states/eV per atom. For the total energy, the calculation gives -25.7 eV per formula unit. Its energy relative to the elements, uncorrected is -166 meV per atom.


# 4
First-principles (PBE-GGA) data for a geometry-optimized Pu5Si2 structure, as listed in the Alexandria database.

Lattice parameters (Å, degrees): 13.7237 5.1833 8.2310 90.00 95.73 90.00
Space group C2/c (No. 15)
Unique sites:
Pu  0.0000  0.2230  0.2500 x4
Pu  0.1269  0.2180  0.9446 x8
Pu  0.2106  0.3858  0.3274 x8
Si  0.0862  0.2854  0.5971 x8

Computed properties:
As for the density of states at the Fermi level: 3.519 states/eV per atom. For the total energy, the calculation gives -83.9 eV per formula unit. Its energy relative to the elements, uncorrected is -205 meV per atom.